First-principles (PBEsol) data for a relaxed structure of RuSeBr2, as listed in Alexandria.

Properties
E above lowest polymorph, eV/f.u.: 0.32
Total magnetic moment, μB per formula unit: 0.000
SG: R-3m, No. 166
Uncorrected formation energy, kJ per mole of atoms: 42.05
ρ, g/cm³: 6.054

Cell lengths 3.7248, 3.7248, 23.2717 Å; angles 90.00, 90.00, 120.00 degrees
Fractional coordinates of all 12 atoms:
Ru1 0.0000 0.0000 0.0000
Ru2 0.3333 0.6667 0.6667
Ru3 0.6667 0.3333 0.3333
Se1 0.0000 0.0000 0.5000
Se2 0.3333 0.6667 0.1667
Se3 0.6667 0.3333 0.8333
Br1 0.0000 0.0000 0.3892
Br2 0.0000 0.0000 0.6108
Br3 0.3333 0.6667 0.0559
Br4 0.3333 0.6667 0.2774
Br5 0.6667 0.3333 0.7226
Br6 0.6667 0.3333 0.9441



First-principles (PBEsol) data for a relaxed structure of SbAsIO2, as listed in Alexandria.

Properties
E above lowest polymorph, eV/f.u.: 0.00
Total magnetic moment, μB per formula unit: 0.001
SG: P4/mmm, No. 123
Uncorrected formation energy, kJ per mole of atoms: -13.68
ρ, g/cm³: 5.539

Cell lengths 3.9854, 3.9854, 6.7116 Å; angles 90.00, 90.00, 90.00 degrees
Fractional coordinates of all 5 atoms:
Sb1 0.0000 0.0000 0.0000
As1 0.5000 0.5000 0.5000
I1 0.0000 0.0000 0.5000
O1 0.0000 0.5000 0.0000
O2 0.5000 0.0000 0.0000



First-principles (PBEsol) data for a relaxed structure of TaPbBr2N, as listed in Alexandria.

Properties
Total magnetic moment, μB per formula unit: 2.057
SG: P4/mmm, No. 123
Uncorrected formation energy, kJ per mole of atoms: 99.63
ρ, g/cm³: 6.749

Cell lengths 4.9042, 4.9042, 5.7488 Å; angles 90.00, 90.00, 90.00 degrees
Fractional coordinates of all 5 atoms:
Ta1 0.0000 0.0000 0.0000
Pb1 0.0000 0.0000 0.5000
Br1 0.0000 0.5000 0.0000
Br2 0.5000 0.0000 0.0000
N1 0.5000 0.5000 0.5000



First-principles (PBEsol) data for a relaxed structure of ZnP2C, as listed in Alexandria.

Properties
Total magnetic moment, μB per formula unit: 0.000
SG: I-42d, No. 122
Energy relative to the elements, meV/atom: 230
ρ, g/cm³: 4.166

Cell lengths 4.9820, 4.9820, 8.9519 Å; angles 90.00, 90.00, 90.00 degrees
Fractional coordinates of all 16 atoms:
Zn1 0.0000 0.0000 0.0000
Zn2 0.0000 0.5000 0.2500
Zn3 0.5000 0.0000 0.7500
Zn4 0.5000 0.5000 0.5000
P1 0.1834 0.7500 0.6250
P2 0.2500 0.1834 0.3750
P3 0.2500 0.3166 0.8750
P4 0.3166 0.7500 0.1250
P5 0.6834 0.2500 0.1250
P6 0.7500 0.6834 0.8750
P7 0.7500 0.8166 0.3750
P8 0.8166 0.2500 0.6250
C1 0.0000 0.0000 0.5000
C2 0.0000 0.5000 0.7500
C3 0.5000 0.0000 0.2500
C4 0.5000 0.5000 0.0000



First-principles (PBEsol) data for a relaxed structure of Cs2CaCl4, as listed in Alexandria.

Properties
Total magnetic moment, μB per formula unit: 0.002
SG: I4/mmm, No. 139
Uncorrected formation energy, kJ per mole of atoms: -212.42
ρ, g/cm³: 3.079

Cell lengths 5.3278, 5.3278, 17.0147 Å; angles 90.00, 90.00, 90.00 degrees
Fractional coordinates of all 14 atoms:
Cs1 0.0000 0.0000 0.1432
Cs2 0.0000 0.0000 0.8568
Cs3 0.5000 0.5000 0.3568
Cs4 0.5000 0.5000 0.6432
Ca1 0.0000 0.0000 0.5000
Ca2 0.5000 0.5000 0.0000
Cl1 0.0000 0.0000 0.3417
Cl2 0.0000 0.0000 0.6583
Cl3 0.0000 0.5000 0.0000
Cl4 0.0000 0.5000 0.5000
Cl5 0.5000 0.0000 0.0000
Cl6 0.5000 0.0000 0.5000
Cl7 0.5000 0.5000 0.1583
Cl8 0.5000 0.5000 0.8417



First-principles (PBEsol) data for a relaxed structure of Ba3Ga2B10H4O23, as listed in Alexandria.

Properties
Total magnetic moment, μB per formula unit: 0.107
E, eV/cell: -632.0
SG: Fdd2, No. 43
ρ, g/cm³: 3.370

Cell lengths 23.6987, 7.1277, 23.1723 Å; angles 85.46, 17.45, 77.09 degrees
Fractional coordinates of all 84 atoms:
Ba1 0.0000 0.0000 0.0000
Ba2 0.2187 0.2529 0.9693
Ba3 0.2500 0.2500 0.2500
Ba4 0.2529 0.2187 0.5592
Ba5 0.2807 0.6908 0.0313
Ba6 0.6908 0.2807 0.9971
Ga1 0.3735 0.9475 0.2931
Ga2 0.8640 0.9569 0.3025
Ga3 0.9475 0.3735 0.3860
Ga4 0.9569 0.8640 0.8765
B1 0.0863 0.7706 0.5926
B2 0.1611 0.5700 0.7816
B3 0.1682 0.3957 0.4975
B4 0.1741 0.3704 0.8633
B5 0.3114 0.7525 0.8543
B6 0.3704 0.1741 0.5922
B7 0.3739 0.6067 0.4293
B8 0.3867 0.6578 0.0759
B9 0.3957 0.1682 0.9386
B10 0.4684 0.7626 0.0889
B11 0.5700 0.1611 0.4874
B12 0.6067 0.3739 0.5901
B13 0.6574 0.6995 0.1637
B14 0.6578 0.3867 0.8796
B15 0.6599 0.8207 0.6433
B16 0.6995 0.6574 0.4794
B17 0.7525 0.3114 0.0818
B18 0.7626 0.4684 0.6800
B19 0.7706 0.0863 0.5505
B20 0.8207 0.6599 0.8761
H1 0.0690 0.8652 0.3638
H2 0.3061 0.5937 0.7900
H3 0.4600 0.9398 0.9439
H4 0.5480 0.8862 0.3848
H5 0.5937 0.3061 0.3102
H6 0.8652 0.0690 0.7020
H7 0.8862 0.5480 0.1810
H8 0.9398 0.4600 0.6563
O1 0.0061 0.4000 0.0676
O2 0.0682 0.7695 0.8423
O3 0.0986 0.3881 0.5064
O4 0.1202 0.5728 0.8801
O5 0.1255 0.9393 0.5542
O6 0.1330 0.9130 0.0591
O7 0.1631 0.6560 0.6321
O8 0.1824 0.7237 0.2439
O9 0.1909 0.3551 0.1170
O10 0.2068 0.2068 0.7932
O11 0.2326 0.5662 0.4370
O12 0.2431 0.7436 0.8619
O13 0.2944 0.3798 0.6271
O14 0.3551 0.1909 0.3370
O15 0.3699 0.8231 0.1298
O16 0.3798 0.2944 0.6987
O17 0.3881 0.0986 0.0069
O18 0.3970 0.5319 0.8032
O19 0.4000 0.0061 0.5263
O20 0.4077 0.9300 0.1818
O21 0.4352 0.7592 0.3800
O22 0.4468 0.9820 0.8530
O23 0.4568 0.4568 0.0432
O24 0.4859 0.8130 0.6838
O25 0.5319 0.3970 0.2680
O26 0.5513 0.6229 0.8702
O27 0.5662 0.2326 0.7641
O28 0.5728 0.1202 0.4269
O29 0.6179 0.7012 0.0869
O30 0.6229 0.5513 0.9556
O31 0.6560 0.1631 0.5488
O32 0.6958 0.8689 0.1245
O33 0.7012 0.6179 0.5940
O34 0.7237 0.1824 0.8500
O35 0.7436 0.2431 0.1514
O36 0.7592 0.4352 0.4256
O37 0.7695 0.0682 0.3200
O38 0.8130 0.4859 0.0174
O39 0.8231 0.3699 0.6772
O40 0.8244 0.8700 0.4908
O41 0.8689 0.6958 0.3107
O42 0.8700 0.8244 0.8148
O43 0.9130 0.1330 0.8949
O44 0.9300 0.4077 0.4805
O45 0.9393 0.1255 0.3811
O46 0.9820 0.4468 0.7181



First-principles (PBEsol) data for a relaxed structure of Na3FeAu, as listed in Alexandria.

Properties
Total magnetic moment, μB per formula unit: 3.238
SG: Pm-3m, No. 221
Energy relative to the elements, meV/atom: 836
ρ, g/cm³: 3.384

Cell lengths 5.4048, 5.4048, 5.4048 Å; angles 90.00, 90.00, 90.00 degrees
Fractional coordinates of all 5 atoms:
Na1 0.0000 0.0000 0.5000
Na2 0.0000 0.5000 0.0000
Na3 0.5000 0.0000 0.0000
Fe1 0.5000 0.5000 0.5000
Au1 0.0000 0.0000 0.0000



First-principles (PBEsol) data for a relaxed structure of BaTlRh2, as listed in Alexandria.

Properties
Total magnetic moment, μB per formula unit: 0.549
SG: F-43m, No. 216
Energy relative to the elements, meV/atom: 508
ρ, g/cm³: 10.453

Cell lengths 7.0332, 7.0332, 7.0332 Å; angles 90.00, 90.00, 90.00 degrees
Fractional coordinates of all 16 atoms:
Ba1 0.0000 0.0000 0.0000
Ba2 0.0000 0.5000 0.5000
Ba3 0.5000 0.0000 0.5000
Ba4 0.5000 0.5000 0.0000
Tl1 0.2500 0.2500 0.7500
Tl2 0.2500 0.7500 0.2500
Tl3 0.7500 0.2500 0.2500
Tl4 0.7500 0.7500 0.7500
Rh1 0.0000 0.0000 0.5000
Rh2 0.0000 0.5000 0.0000
Rh3 0.2500 0.2500 0.2500
Rh4 0.2500 0.7500 0.7500
Rh5 0.5000 0.0000 0.0000
Rh6 0.5000 0.5000 0.5000
Rh7 0.7500 0.2500 0.7500
Rh8 0.7500 0.7500 0.2500



The highest ρ belongs to which entry? BaTlRh2



Please write out number 4 again, unchanged.
First-principles (PBEsol) data for a relaxed structure of ZnP2C, as listed in Alexandria.

Properties
Total magnetic moment, μB per formula unit: 0.000
SG: I-42d, No. 122
Energy relative to the elements, meV/atom: 230
ρ, g/cm³: 4.166

Cell lengths 4.9820, 4.9820, 8.9519 Å; angles 90.00, 90.00, 90.00 degrees
Fractional coordinates of all 16 atoms:
Zn1 0.0000 0.0000 0.0000
Zn2 0.0000 0.5000 0.2500
Zn3 0.5000 0.0000 0.7500
Zn4 0.5000 0.5000 0.5000
P1 0.1834 0.7500 0.6250
P2 0.2500 0.1834 0.3750
P3 0.2500 0.3166 0.8750
P4 0.3166 0.7500 0.1250
P5 0.6834 0.2500 0.1250
P6 0.7500 0.6834 0.8750
P7 0.7500 0.8166 0.3750
P8 0.8166 0.2500 0.6250
C1 0.0000 0.0000 0.5000
C2 0.0000 0.5000 0.7500
C3 0.5000 0.0000 0.2500
C4 0.5000 0.5000 0.0000



Which value of ρ does entry 7 give? 3.384 g/cm³



Which formula does entry 7 have? Na3FeAu